[1]
First-principles (PBE) data for a relaxed structure of Ba2NaSb2O6, as listed in the Alexandria database.

a = 11.700 Å, b = 6.416 Å, c = 7.907 Å
α = 90.00°, β = 125.14°, γ = 90.00°
Space group C2/m (No. 12)
One atom of each set of equivalent atoms:
Ba1 0.210 0.000 0.118 (multiplicity 4)
Na1 0.000 0.000 0.500 (multiplicity 2)
Sb1 0.052 0.500 0.241 (multiplicity 4)
O1 0.071 0.268 0.796 (multiplicity 8)
O2 0.215 0.500 0.518 (multiplicity 4)

Output
Total energy (Ry per atom): -0.418
DOS at the Fermi energy (states/eV/atom): 0.25
Total moment (μB/f.u.): 0.9


[2]
First-principles (PBE) data for a relaxed structure of ZnCu2Te, as listed in the Alexandria database.

a = 3.010 Å, b = 3.716 Å, c = 6.346 Å
α = 90.00°, β = 90.95°, γ = 90.00°
Space group P2/m (No. 10)
One atom of each set of equivalent atoms:
Zn1 0.000 0.000 0.000 (multiplicity 1)
Cu1 0.494 0.500 0.188 (multiplicity 2)
Te1 0.500 0.000 0.500 (multiplicity 1)

Output
Total energy (Ry per atom): -0.225
DOS at the Fermi energy (states/eV/atom): 0.36
Total moment (μB/f.u.): 0.0


[3]
First-principles (PBE) data for a relaxed structure of Zn3PbW, as listed in the Alexandria database.

a = 4.946 Å, b = 4.946 Å, c = 4.946 Å
α = 90.00°, β = 90.00°, γ = 90.00°
Space group Pm-3m (No. 221)
One atom of each set of equivalent atoms:
Zn1 0.000 0.000 0.500 (multiplicity 3)
Pb1 0.500 0.500 0.500 (multiplicity 1)
W1 0.000 0.000 0.000 (multiplicity 1)

Output
Total energy (Ry per atom): -0.235
DOS at the Fermi energy (states/eV/atom): 0.52
ΔE_f (eV/atom): 0.905
Total moment (μB/f.u.): 0.0


[4]
First-principles (PBE) data for a relaxed structure of K2H2Se, as listed in the Alexandria database.

a = 9.786 Å, b = 5.508 Å, c = 9.784 Å
α = 90.00°, β = 111.46°, γ = 90.00°
Space group C2/c (No. 15)
One atom of each set of equivalent atoms:
K1 0.125 0.250 0.125 (multiplicity 8)
H1 0.114 0.249 0.636 (multiplicity 8)
Se1 0.000 0.250 0.750 (multiplicity 4)

Output
Total energy (Ry per atom): -0.212
DOS at the Fermi energy (states/eV/atom): 0.00
Total moment (μB/f.u.): 0.0


[5]
First-principles (PBE) data for a relaxed structure of K5HgP2, as listed in the Alexandria database.

a = 5.8188 Å, b = 5.8188 Å, c = 19.5763 Å
α = 90.00°, β = 90.00°, γ = 120.00°
Space group P6_3/mmc (No. 194)
One atom of each set of equivalent atoms:
K1 0.0000 0.0000 0.1357 (multiplicity 4)
K2 0.3333 0.6667 0.0467 (multiplicity 4)
K3 0.3333 0.6667 0.2500 (multiplicity 2)
Hg1 0.3333 0.6667 0.7500 (multiplicity 2)
P1 0.3333 0.6667 0.6235 (multiplicity 4)

Output
Total energy (Ry per atom): -0.170
DOS at the Fermi energy (states/eV/atom): 0.42
ΔE_f (eV/atom): -0.237
Total moment (μB/f.u.): 0.5


[6]
First-principles (PBE) data for a relaxed structure of Sc2TiHgH, as listed in the Alexandria database.

a = 4.446 Å, b = 4.446 Å, c = 4.202 Å
α = 90.00°, β = 90.00°, γ = 90.00°
Space group P4/mmm (No. 123)
One atom of each set of equivalent atoms:
Sc1 0.000 0.500 0.000 (multiplicity 2)
Ti1 0.000 0.000 0.500 (multiplicity 1)
Hg1 0.500 0.500 0.500 (multiplicity 1)
H1 0.000 0.000 0.000 (multiplicity 1)

Output
Total energy (Ry per atom): -0.375
DOS at the Fermi energy (states/eV/atom): 1.13
Total moment (μB/f.u.): 1.3


Question: Which value of total moment does entry 3 give?
Answer: 0.0 μB/f.u.


Question: What is the total energy in the second record?
Answer: -0.225 Ry per atom


Question: DOS at the Fermi energy of number 2 (ZnCu2Te)?
Answer: 0.36 states/eV/atom